A geometry-optimized RbVSbO4 structure, computed with PBE with a Hubbard U.

## Properties
- total magnetization (Bohr magnetons per cell) = 2.00
- E_tot (eV/cell) = -88.64
- crystal system = monoclinic

a b c (Å): 6.6544 5.9029 9.1504
angles (deg): 90.00 114.17 90.00
Each line ends with the local moment (μB).
Sites, in units of the cell vectors:
O1 0.5644 0.2500 0.8604  -0.06
O2 0.1367 0.0008 0.2413  0.01
O3 0.4857 0.2500 0.5021  -0.01
O4 0.8633 0.5008 0.7587  0.01
O5 0.4356 0.7500 0.1396  -0.06
O6 0.1367 0.4992 0.2413  0.01
O7 0.5143 0.7500 0.4979  -0.01
O8 0.8633 0.9992 0.7587  0.01
V1 0.3356 0.7500 0.2822  1.01
V2 0.6644 0.2500 0.7178  1.01
Sb1 0.8413 0.7500 0.6093  0.01
Sb2 0.1587 0.2500 0.3907  0.01
Rb1 0.2500 0.2500 0.9919  0.00
Rb2 0.7500 0.7500 0.0081  0.00